Entry 1:
VASP calculation (PBE) on an optimized crystal structure of CdHg2Rh.

Output
**V**: 78.0 Å³/cell
**Crystal system**: orthorhombic

abc: 3.185 4.018 6.095
angles: 90.00 90.00 90.00
Element x y z (fractional)
Cd1 0.000 0.000 0.000
Hg1 0.500 0.500 0.266
Hg2 0.500 0.500 0.734
Rh1 0.000 0.000 0.500

---

Entry 2:
VASP calculation (PBE) on an optimized crystal structure of CdHg2Rh.

Output
**V**: 155.7 Å³/cell
**Crystal system**: orthorhombic

abc: 5.913 8.037 3.275
angles: 90.00 90.00 90.00
Element x y z (fractional)
Cd1 0.000 0.000 0.000
Cd2 0.500 0.500 0.000
Hg1 0.250 0.250 0.500
Hg2 0.250 0.750 0.500
Hg3 0.750 0.250 0.500
Hg4 0.750 0.750 0.500
Rh1 0.000 0.500 0.000
Rh2 0.500 0.000 0.000

---

Entry 3:
VASP calculation (PBE) on an optimized crystal structure of CdHgRh4.

Output
**V**: 101.2 Å³/cell
**Crystal system**: cubic

abc: 5.231 5.231 5.231
angles: 60.00 60.00 60.00
Element x y z (fractional)
Cd1 0.000 0.000 0.000
Hg1 0.750 0.750 0.750
Rh1 0.375 0.375 0.375
Rh2 0.375 0.375 0.875
Rh3 0.375 0.875 0.375
Rh4 0.875 0.375 0.375

---

Entry 4:
VASP calculation (PBE) on an optimized crystal structure of CdHgRh.

Output
**V**: 131.0 Å³/cell
**Distance to the lowest polymorph of the same formula**: 215.2 meV/atom
**Crystal system**: trigonal

abc: 7.780 7.780 7.780
angles: 33.97 33.97 33.97
Element x y z (fractional)
Cd1 0.126 0.126 0.126
Cd2 0.874 0.874 0.874
Hg1 0.378 0.378 0.378
Hg2 0.622 0.622 0.622
Rh1 0.251 0.251 0.251
Rh2 0.749 0.749 0.749

---

Entry 5:
VASP calculation (PBE) on an optimized crystal structure of Cd4HgRh.

Output
**V**: 261.3 Å³/cell
**Distance to the lowest polymorph of the same formula**: 0.0 meV/atom
**Crystal system**: monoclinic

abc: 7.253 7.253 5.768
angles: 101.57 101.57 112.54
Element x y z (fractional)
Cd1 0.077 0.709 0.939
Cd2 0.187 0.380 0.643
Cd3 0.291 0.923 0.561
Cd4 0.380 0.187 0.143
Cd5 0.620 0.813 0.857
Cd6 0.709 0.077 0.439
Cd7 0.813 0.620 0.357
Cd8 0.923 0.291 0.061
Hg1 0.389 0.611 0.250
Hg2 0.611 0.389 0.750
Rh1 0.001 0.999 0.750
Rh2 0.999 0.001 0.250

---

Entry 6:
VASP calculation (PBE) on an optimized crystal structure of CdHg2Rh.

Output
**V**: 154.6 Å³/cell
**Crystal system**: orthorhombic

abc: 4.130 4.144 9.035
angles: 90.00 90.00 90.00
Element x y z (fractional)
Cd1 0.000 0.000 0.000
Cd2 0.500 0.500 0.500
Hg1 0.000 0.500 0.250
Hg2 0.000 0.500 0.750
Hg3 0.500 0.000 0.250
Hg4 0.500 0.000 0.750
Rh1 0.000 0.000 0.500
Rh2 0.500 0.500 0.000

---

Entry 7:
VASP calculation (PBE) on an optimized crystal structure of CdHg2Rh.

Output
**V**: 341.1 Å³/cell
**Crystal system**: tetragonal

abc: 4.124 4.124 20.054
angles: 90.00 90.00 90.00
Element x y z (fractional)
Cd1 0.000 0.000 0.000
Cd2 0.000 0.500 0.250
Cd3 0.500 0.000 0.750
Cd4 0.500 0.500 0.500
Hg1 0.238 0.250 0.625
Hg2 0.250 0.738 0.875
Hg3 0.250 0.762 0.375
Hg4 0.262 0.250 0.125
Hg5 0.738 0.750 0.125
Hg6 0.750 0.238 0.375
Hg7 0.750 0.262 0.875
Hg8 0.762 0.750 0.625
Rh1 0.000 0.000 0.500
Rh2 0.000 0.500 0.750
Rh3 0.500 0.000 0.250
Rh4 0.500 0.500 0.000

---

Entry 8:
VASP calculation (PBE) on an optimized crystal structure of CdHg2Rh.

Output
**V**: 76.6 Å³/cell
**Crystal system**: tetragonal

abc: 4.264 4.264 4.212
angles: 90.00 90.00 90.00
Element x y z (fractional)
Cd1 0.000 0.000 0.000
Hg1 0.000 0.500 0.500
Hg2 0.500 0.000 0.500
Rh1 0.500 0.500 0.000

---

Entry 9:
VASP calculation (PBE) on an optimized crystal structure of CdHg2Rh2.

Output
**V**: 192.3 Å³/cell
**Distance to the lowest polymorph of the same formula**: 0.0 meV/atom
**Crystal system**: tetragonal

abc: 7.013 7.013 3.911
angles: 90.00 90.00 90.00
Element x y z (fractional)
Cd1 0.000 0.000 0.000
Cd2 0.500 0.500 0.000
Hg1 0.165 0.335 0.500
Hg2 0.335 0.835 0.500
Hg3 0.665 0.165 0.500
Hg4 0.835 0.665 0.500
Rh1 0.134 0.634 0.000
Rh2 0.366 0.134 0.000
Rh3 0.634 0.866 0.000
Rh4 0.866 0.366 0.000

---

Entry 10:
VASP calculation (PBE) on an optimized crystal structure of Cd8Hg2Rh.

Output
**V**: 244.7 Å³/cell
**Distance to the lowest polymorph of the same formula**: 0.0 meV/atom
**Crystal system**: monoclinic

abc: 10.307 10.307 5.199
angles: 103.49 103.49 27.15
Element x y z (fractional)
Cd1 0.060 0.060 0.218
Cd2 0.248 0.248 0.322
Cd3 0.351 0.351 0.866
Cd4 0.428 0.428 0.421
Cd5 0.572 0.572 0.579
Cd6 0.649 0.649 0.134
Cd7 0.752 0.752 0.678
Cd8 0.940 0.940 0.782
Hg1 0.163 0.163 0.770
Hg2 0.837 0.837 0.230
Rh1 0.500 0.500 0.000

---

Entry 11:
VASP calculation (PBE) on an optimized crystal structure of CdHg2Rh.

Output
**V**: 80.1 Å³/cell
**Crystal system**: tetragonal

abc: 3.155 3.155 8.045
angles: 90.00 90.00 90.00
Element x y z (fractional)
Cd1 0.000 0.000 0.000
Hg1 0.500 0.500 0.281
Hg2 0.500 0.500 0.719
Rh1 0.000 0.000 0.500

---

Entry 12:
VASP calculation (PBE) on an optimized crystal structure of Cd2Hg2Rh.

Output
**V**: 216.9 Å³/cell
**Distance to the lowest polymorph of the same formula**: 0.0 meV/atom
**Crystal system**: tetragonal

abc: 7.253 7.253 4.122
angles: 90.00 90.00 90.00
Element x y z (fractional)
Cd1 0.163 0.337 0.000
Cd2 0.337 0.837 0.000
Cd3 0.663 0.163 0.000
Cd4 0.837 0.663 0.000
Hg1 0.146 0.646 0.500
Hg2 0.354 0.146 0.500
Hg3 0.646 0.854 0.500
Hg4 0.854 0.354 0.500
Rh1 0.000 0.000 0.500
Rh2 0.500 0.500 0.500

---

Record order is preserved below.
N(E_F): 2.26; 4.34; 10.35; 2.87; 6.09; 3.83; 7.65; 2.92; 3.88; 3.96; 1.82; 4.67 states/eV per cell
Record order is preserved below.
Formation energy: 13; 13; 19; 12; -3; 9; 22; 8; 5; -3; 13; 24 kJ/mol of atoms
Record order is preserved below.
Magnetization: 0.000; 0.000; 0.611; 0.000; 0.000; 0.000; 0.000; 0.000; 0.000; 0.000; 0.000; 0.000 μB/f.u.